Entry 1:
Mn2CoMoOs | the Alexandria database | PBE-GGA | relaxed; total magnetization = 7.50 μB per cell; density of states at the Fermi level = 1.412 states/eV/atom; DFT formation energy = 1830 meV/atom; energy = -38.36 eV per cell
1.0
4.5166 0.0000 0.0000
0.0000 4.6791 0.0000
0.0000 0.0000 4.5166
Mo Mn Os Co
1 2 1 1
Direct
0.0000 0.0000 0.0000 Mo
0.5000 0.0000 0.0000 Mn
0.0000 0.0000 0.5000 Mn
0.0000 0.5000 0.0000 Os
0.5000 0.5000 0.5000 Co



Entry 2:
MnCoMoOs | the Alexandria database | PBE-GGA | relaxed; total magnetization = 5.38 μB per cell; density of states at the Fermi level = 0.836 states/eV/atom; DFT formation energy = 126 meV/atom; energy = -37.83 eV per cell
1.0
-2.4099 -0.1223 3.5355
1.0010 -2.6840 3.1807
1.5348 1.5324 3.6904
Os Mn Co Mo
1 1 1 1
Direct
0.7500 0.7500 0.7500 Os
0.5000 0.5000 0.5000 Mn
0.2500 0.2500 0.2500 Co
0.0000 0.0000 0.0000 Mo



Entry 3:
MnCoReMo | the Alexandria database | PBE-GGA | relaxed; total magnetization = 4.63 μB per cell; density of states at the Fermi level = 0.747 states/eV/atom; DFT formation energy = 110 meV/atom; energy = -39.12 eV per cell
1.0
4.2799 0.0000 0.0000
2.1399 3.7065 0.0000
2.1399 1.2355 3.4945
Mo Co Re Mn
1 1 1 1
Direct
0.0000 0.0000 0.0000 Mo
0.2500 0.2500 0.2500 Co
0.7500 0.7500 0.7500 Re
0.5000 0.5000 0.5000 Mn